Here is an optimized crystal structure of SmZn2In from Alexandria via LeMat-Bulk. Energies are from PBE.

Lattice parameters (Å, degrees): 4.1843 4.5776 4.5776 90.00 90.00 90.00
Atoms (fractional coordinates):
In 0.5000 0.5000 0.5000
Zn 0.0000 0.0000 0.5000
Zn 0.0000 0.5000 0.0000
Sm 0.5000 0.0000 0.0000

=====

Here is an optimized crystal structure of SmZn9In2 from Alexandria via LeMat-Bulk. Energies are from PBE.

Lattice parameters (Å, degrees): 5.4537 5.4537 8.9859 72.33 72.33 60.00
Atoms (fractional coordinates):
Zn 0.5842 0.5842 0.7500
Zn 0.4158 0.4158 0.2500
Zn 0.5000 0.5000 0.5000
Zn 0.4158 0.9184 0.2500
Zn 0.9184 0.4158 0.2500
Zn 0.6679 0.6679 0.9962
Zn 0.0816 0.5842 0.7500
Zn 0.5842 0.0816 0.7500
Zn 0.3321 0.3321 0.0038
In 0.1383 0.1383 0.5852
In 0.8617 0.8617 0.4148
Sm 0.0000 0.0000 0.0000

=====

Here is an optimized crystal structure of Sm3Zn8In from Alexandria via LeMat-Bulk. Energies are from PBE.

Lattice parameters (Å, degrees): 5.5454 5.5454 9.4713 72.98 72.98 60.00
Atoms (fractional coordinates):
Zn 0.6892 0.6892 0.9324
Zn 0.4394 0.4394 0.1838
Zn 0.9397 0.4318 0.6887
Zn 0.9397 0.9397 0.6887
Zn 0.4394 0.9373 0.1838
Zn 0.9373 0.4394 0.1838
Zn 0.1864 0.1864 0.4407
Zn 0.4318 0.9397 0.6887
In 0.8718 0.8718 0.3845
Sm 0.5031 0.5031 0.4906
Sm 0.9949 0.9949 0.0154
Sm 0.3770 0.3770 0.8689

=====

Here is an optimized crystal structure of Sm6ZnIn3 from Alexandria via LeMat-Bulk. Energies are from PBE.

Lattice parameters (Å, degrees): 5.3522 9.2925 11.9174 90.00 90.01 90.00
Atoms (fractional coordinates):
Sm 0.4997 0.5024 0.7433
Sm 0.5000 0.8256 0.4168
Sm 0.5003 0.4976 0.2567
Sm 0.0000 0.3256 0.0832
Sm 0.5000 0.1744 0.5832
Sm 0.9999 0.6599 0.5834
Sm 0.9997 0.9976 0.2433
Sm 0.0000 0.6744 0.9168
Sm 0.4999 0.8401 0.0834
Sm 0.5001 0.1599 0.9166
Sm 0.0001 0.3401 0.4166
Sm 0.0003 0.0024 0.7567
In 0.5003 0.8353 0.7462
In 0.4997 0.1647 0.2538
In 0.0003 0.6647 0.2462
In 0.9997 0.3353 0.7538
In 0.0000 0.0000 0.5000
In 0.5000 0.5000 0.0000
Zn 0.5000 0.5000 0.5000
Zn 0.0000 0.0000 0.0000

=====

Here is an optimized crystal structure of SmZnIn2 from Alexandria via LeMat-Bulk. Energies are from PBE.

Lattice parameters (Å, degrees): 4.5753 4.5501 4.5501 90.00 90.00 90.00
Atoms (fractional coordinates):
Sm 0.5000 0.5000 0.5000
In 0.0000 0.5000 0.0000
In 0.0000 0.0000 0.5000
Zn 0.5000 0.0000 0.0000

=====

Here is an optimized crystal structure of SmZnIn from Alexandria via LeMat-Bulk. Energies are from PBE.

Lattice parameters (Å, degrees): 3.5196 3.5196 6.3163 106.18 106.18 90.00
Atoms (fractional coordinates):
Zn 0.9599 0.9599 0.9198
In 0.5964 0.5964 0.1927
Sm 0.2938 0.2938 0.5875

=====

Here is an optimized crystal structure of Sm8ZnIn2 from Alexandria via LeMat-Bulk. Energies are from PBE.

Values from the calculation:
Energy above the lowest structure with this stoichiometry = 0.024 eV per atom

Lattice parameters (Å, degrees): 5.2930 6.8600 9.8529 103.86 105.58 90.00
Atoms (fractional coordinates):
Sm 0.4073 0.5381 0.8147
Sm 0.0141 0.7728 0.0281
Sm 0.2059 0.2946 0.4117
Sm 0.3467 0.0270 0.6934
Sm 0.7941 0.7054 0.5883
Sm 0.9859 0.2272 0.9719
Sm 0.5927 0.4619 0.1853
Sm 0.6533 0.9730 0.3066
In 0.8173 0.2599 0.6346
In 0.1827 0.7401 0.3654
Zn 0.5000 0.0000 0.0000

=====

Here is an optimized crystal structure of Sm3Zn2In4 from Alexandria via LeMat-Bulk. Energies are from PBE.

Lattice parameters (Å, degrees): 4.7869 6.0792 9.1201 111.95 90.00 113.19
Atoms (fractional coordinates):
Sm 0.3347 0.6694 0.3368
Sm 0.6653 0.3306 0.6632
Sm 0.0000 0.0000 0.0000
Zn 0.3836 0.7672 0.7129
Zn 0.6164 0.2328 0.2871
In 0.2810 0.5620 0.9351
In 0.7190 0.4380 0.0649
In 0.9423 0.8846 0.6173
In 0.0577 0.1154 0.3827

=====

Here is an optimized crystal structure of Sm12ZnIn3 from Alexandria via LeMat-Bulk. Energies are from PBE.

Lattice parameters (Å, degrees): 4.9133 4.9133 19.5598 90.00 90.00 90.00
Atoms (fractional coordinates):
Sm 0.5000 0.5000 0.0000
Sm 0.5000 0.0000 0.1202
Sm 0.5000 0.5000 0.2453
Sm 0.5000 0.5000 0.7547
Sm 0.0000 0.5000 0.6268
Sm 0.5000 0.0000 0.6268
Sm 0.5000 0.0000 0.8798
Sm 0.5000 0.0000 0.3732
Sm 0.0000 0.5000 0.3732
Sm 0.0000 0.5000 0.1202
Sm 0.0000 0.5000 0.8798
Sm 0.5000 0.5000 0.5000
In 0.0000 0.0000 0.7525
In 0.0000 0.0000 0.2475
In 0.0000 0.0000 0.5000
Zn 0.0000 0.0000 0.0000

=====

Here is an optimized crystal structure of SmZn3In from Alexandria via LeMat-Bulk. Energies are from PBE.

Lattice parameters (Å, degrees): 4.8177 4.8177 12.0614 101.52 101.52 90.00
Atoms (fractional coordinates):
Zn 0.1284 0.3808 0.2568
Zn 0.1284 0.8760 0.2568
Zn 0.3383 0.3383 0.6766
Zn 0.1240 0.8716 0.7432
Zn 0.6617 0.6617 0.3234
Zn 0.6192 0.8716 0.7432
Sm 0.0000 0.0000 0.0000
Sm 0.2500 0.7500 0.5000
In 0.5906 0.0906 0.1812
In 0.9094 0.4094 0.8188

=====

Here is an optimized crystal structure of Sm2Zn7In from Alexandria via LeMat-Bulk. Energies are from PBE.

Lattice parameters (Å, degrees): 4.2862 4.2862 10.6676 90.00 90.00 90.00
Atoms (fractional coordinates):
In 0.5000 0.5000 0.0000
Zn 0.5000 0.5000 0.5000
Zn 0.0000 0.5000 0.8511
Zn 0.5000 0.0000 0.3748
Zn 0.0000 0.5000 0.6252
Zn 0.0000 0.0000 0.0000
Zn 0.5000 0.0000 0.1489
Zn 0.0000 0.0000 0.5000
Sm 0.0000 0.5000 0.2633
Sm 0.5000 0.0000 0.7367

=====

Here is an optimized crystal structure of SmZrIn from Alexandria via LeMat-Bulk. Energies are from PBE.

Values from the calculation:
Energy above the lowest structure with this stoichiometry = 0.170 eV per atom

Lattice parameters (Å, degrees): 5.7406 5.2484 7.0045 77.05 65.81 56.85
Atoms (fractional coordinates):
Sm 0.1749 0.6503 0.0000
Sm 0.8251 0.3497 0.0000
Zr 0.2500 0.5000 0.5000
Zr 0.7500 0.5000 0.5000
In 0.6175 0.0000 0.7650
In 0.3825 0.0000 0.2350

=====

no.,energy of formation (kcal/mol of atoms)
1,-6.8
2,-2.6
3,-6.1
4,-6.3
5,-8.8
6,-6.2
7,-4.7
8,-10.3
9,-4.9
10,3.4
11,-7.2
12,0.0